# PBE-GGA Ag2HgGe, optimized geometry
# Spin magnetization = 0.0 Bohr magnetons per cell
# ρ = 10.39 g cm⁻³
# Energy relative to the lowest polymorph listed for this composition = 0 meV/atom
# Energy of formation = 0.53 eV/f.u.
# Space-group type = No. 166
data_Ag2HgGe
_chemical_formula_sum 'Ag2 Hg1 Ge1'
_cell_length_a 3.1086
_cell_length_b 3.1086
_cell_length_c 9.5057
_cell_angle_alpha 80.59
_cell_angle_beta 80.59
_cell_angle_gamma 60.00
_symmetry_space_group_name_H-M 'P 1'
_symmetry_Int_Tables_number 1
_symmetry_space_group_name_Hall 'P 1'
loop_
_atom_site_label
_atom_site_type_symbol
_atom_site_fract_x
_atom_site_fract_y
_atom_site_fract_z
_atom_site_occupancy
Ge1 Ge 0.0000 0.0000 0.0000 1
Hg1 Hg 0.5000 0.5000 0.5000 1
Ag1 Ag 0.7461 0.7461 0.7618 1
Ag2 Ag 0.2539 0.2539 0.2382 1


# PBE-GGA TbPmMo4, optimized geometry
# Spin magnetization = 0.0 Bohr magnetons per cell
# ρ = 9.44 g cm⁻³
# Energy of formation = 1.04 eV/f.u.
# Space-group type = No. 216
data_TbPmMo4
_chemical_formula_sum 'Tb1 Pm1 Mo4'
_cell_length_a 5.5510
_cell_length_b 5.5510
_cell_length_c 5.5510
_cell_angle_alpha 60.00
_cell_angle_beta 60.00
_cell_angle_gamma 60.00
_symmetry_space_group_name_H-M 'P 1'
_symmetry_Int_Tables_number 1
_symmetry_space_group_name_Hall 'P 1'
loop_
_atom_site_label
_atom_site_type_symbol
_atom_site_fract_x
_atom_site_fract_y
_atom_site_fract_z
_atom_site_occupancy
Mo1 Mo 0.6248 0.6248 0.1255 1
Mo2 Mo 0.6248 0.1255 0.6248 1
Mo3 Mo 0.6248 0.6248 0.6248 1
Mo4 Mo 0.1255 0.6248 0.6248 1
Tb1 Tb 0.0000 0.0000 0.0000 1
Pm1 Pm 0.2500 0.2500 0.2500 1


# PBE-GGA BaLi2CuAu, optimized geometry
# Spin magnetization = 0.0 Bohr magnetons per cell
# ρ = 5.44 g cm⁻³
# Energy relative to the lowest polymorph listed for this composition = 0 meV/atom
# Energy of formation = -0.73 eV/f.u.
# Space-group type = No. 123
data_BaLi2CuAu
_chemical_formula_sum 'Ba1 Li2 Cu1 Au1'
_cell_length_a 4.9481
_cell_length_b 4.9481
_cell_length_c 5.1371
_cell_angle_alpha 90.00
_cell_angle_beta 90.00
_cell_angle_gamma 90.00
_symmetry_space_group_name_H-M 'P 1'
_symmetry_Int_Tables_number 1
_symmetry_space_group_name_Hall 'P 1'
loop_
_atom_site_label
_atom_site_type_symbol
_atom_site_fract_x
_atom_site_fract_y
_atom_site_fract_z
_atom_site_occupancy
Au1 Au 0.0000 0.0000 0.0000 1
Ba1 Ba 0.5000 0.5000 0.5000 1
Cu1 Cu 0.0000 0.0000 0.5000 1
Li1 Li 0.0000 0.5000 0.0000 1
Li2 Li 0.5000 0.0000 0.0000 1


# PBE-GGA NpTi2Cd, optimized geometry
# Spin magnetization = 3.6 Bohr magnetons per cell
# ρ = 9.81 g cm⁻³
# Energy of formation = 0.93 eV/f.u.
# Space-group type = No. 123
data_NpTi2Cd
_chemical_formula_sum 'Np1 Ti2 Cd1'
_cell_length_a 3.3238
_cell_length_b 3.3238
_cell_length_c 6.8181
_cell_angle_alpha 90.00
_cell_angle_beta 90.00
_cell_angle_gamma 90.00
_symmetry_space_group_name_H-M 'P 1'
_symmetry_Int_Tables_number 1
_symmetry_space_group_name_Hall 'P 1'
loop_
_atom_site_label
_atom_site_type_symbol
_atom_site_fract_x
_atom_site_fract_y
_atom_site_fract_z
_atom_site_occupancy
Np1 Np 0.5000 0.5000 0.0000 1
Ti1 Ti 0.0000 0.0000 0.7755 1
Ti2 Ti 0.0000 0.0000 0.2245 1
Cd1 Cd 0.5000 0.5000 0.5000 1


Which of these has the highest energy of formation? TbPmMo4